(1)
! MgSiSb3 PBE relaxed; values from VASP
! Symmetry   Pm-3m
! ρ   4.79 g cm⁻³
! Energy relative to the elements, uncorrected   0.526 eV/atom
! DFT total energy   -0.2463 Ry per atom
&SYSTEM
  ibrav = 0, nat = 5, ntyp = 3
/
ATOMIC_SPECIES
Sb 121.76 Sb.upf
Mg 24.30 Mg.upf
Si 28.09 Si.upf
CELL_PARAMETERS angstrom
5.253 0.000 0.000
0.000 5.253 0.000
0.000 0.000 5.253
ATOMIC_POSITIONS angstrom
Sb 0.000 2.626 0.000
Sb 0.000 0.000 2.626
Sb 2.626 0.000 0.000
Mg 2.626 2.626 2.626
Si 0.000 0.000 0.000

=====

(2)
! Be2SiRu2 PBE relaxed; values from VASP
! Symmetry   P4/mbm
! ρ   7.66 g cm⁻³
! Energy relative to the elements, uncorrected   -0.444 eV/atom
! DFT total energy   -0.4946 Ry per atom
&SYSTEM
  ibrav = 0, nat = 10, ntyp = 3
/
ATOMIC_SPECIES
Ru 101.07 Ru.upf
Si 28.09 Si.upf
Be 9.01 Be.upf
CELL_PARAMETERS angstrom
6.052 0.000 0.000
0.000 6.052 0.000
0.000 0.000 2.938
ATOMIC_POSITIONS angstrom
Ru 4.976 1.950 1.469
Ru 1.950 1.076 1.469
Ru 1.076 4.102 1.469
Ru 4.102 4.976 1.469
Si 3.026 3.026 0.000
Si 0.000 0.000 0.000
Be 0.728 2.298 0.000
Be 5.324 3.754 0.000
Be 3.754 0.728 0.000
Be 2.298 5.324 0.000

=====

(3)
! MgRhSN2 PBE relaxed; values from VASP
! Symmetry   P4/mmm
! ρ   4.08 g cm⁻³
! Energy relative to the elements, uncorrected   0.545 eV/atom
! DFT total energy   -0.3969 Ry per atom
&SYSTEM
  ibrav = 0, nat = 5, ntyp = 4
/
ATOMIC_SPECIES
N 14.01 N.upf
S 32.06 S.upf
Mg 24.30 Mg.upf
Rh 102.91 Rh.upf
CELL_PARAMETERS angstrom
-0.540 1.241 -3.526
-3.410 -1.621 -0.048
-2.164 4.495 1.913
ATOMIC_POSITIONS angstrom
N -0.270 0.620 -1.763
N -1.705 -0.810 -0.024
S -1.082 2.247 0.956
Mg -3.057 2.057 -0.831
Rh 0.000 0.000 0.000

=====

(4)
! HoThFeNi PBE relaxed; values from VASP
! Symmetry   F-43m
! ρ   10.68 g cm⁻³
! E_form   -0.114 eV per atom
! DFT total energy   -0.4906 Ry per atom
&SYSTEM
  ibrav = 0, nat = 4, ntyp = 4
/
ATOMIC_SPECIES
Th 232.04 Th.upf
Fe 55.84 Fe.upf
Ho 164.93 Ho.upf
Ni 58.69 Ni.upf
CELL_PARAMETERS angstrom
-1.510 -1.518 -4.326
-4.299 -2.152 -0.438
-3.625 2.280 -2.228
ATOMIC_POSITIONS angstrom
Th -4.717 -0.694 -3.496
Fe -7.075 -1.042 -5.244
Ho 0.000 0.000 0.000
Ni -2.358 -0.347 -1.748

=====

(5)
! BaGaPt3 PBE relaxed; values from VASP
! Symmetry   Pm-3m
! ρ   8.19 g cm⁻³
! E_form   1.464 eV per atom
! DFT total energy   -0.2316 Ry per atom
&SYSTEM
  ibrav = 0, nat = 5, ntyp = 3
/
ATOMIC_SPECIES
Pt 195.08 Pt.upf
Ga 69.72 Ga.upf
Ba 137.33 Ba.upf
CELL_PARAMETERS angstrom
-1.128 -5.169 1.253
4.282 -1.642 -2.920
3.154 0.381 4.412
ATOMIC_POSITIONS angstrom
Pt -0.564 -2.585 0.626
Pt 1.577 0.190 2.206
Pt 2.141 -0.821 -1.460
Ga 3.154 -3.215 1.372
Ba 0.000 0.000 0.000

=====

(6)
! Pm3Pr2Cu2 PBE relaxed; values from VASP
! Symmetry   C2/m
! ρ   7.00 g cm⁻³
! E_form   -0.080 eV per atom
! DFT total energy   -0.3419 Ry per atom
&SYSTEM
  ibrav = 0, nat = 7, ntyp = 3
/
ATOMIC_SPECIES
Pr 140.91 Pr.upf
Cu 63.55 Cu.upf
Pm 145.00 Pm.upf
CELL_PARAMETERS angstrom
-0.717 -2.784 -2.454
6.467 1.372 -0.536
-2.306 -5.621 7.051
ATOMIC_POSITIONS angstrom
Pr 3.400 -2.458 -1.115
Pr 0.044 -4.574 5.176
Cu 1.960 -5.730 3.017
Cu 1.484 -1.302 1.044
Pm 0.026 -3.888 1.493
Pm -0.358 -1.392 -1.227
Pm 3.418 -3.144 2.568

=====

(7)
! Ce2PmPb5 PBE relaxed; values from VASP
! Symmetry   I4mm
! ρ   10.21 g cm⁻³
! E_form   -0.388 eV per atom
! DFT total energy   -0.3515 Ry per atom
&SYSTEM
  ibrav = 0, nat = 8, ntyp = 3
/
ATOMIC_SPECIES
Ce 140.12 Ce.upf
Pb 207.20 Pb.upf
Pm 145.00 Pm.upf
CELL_PARAMETERS angstrom
6.292 0.745 -2.594
-2.571 5.790 -2.596
-0.428 -0.750 6.792
ATOMIC_POSITIONS angstrom
Ce 3.965 1.813 0.656
Ce -0.466 4.336 0.656
Pb 3.749 1.440 4.052
Pb 2.679 4.707 -0.644
Pb 0.821 1.443 1.956
Pb -0.249 4.709 -2.740
Pb 1.033 1.813 -1.440
Pm 2.468 4.337 2.751

=====

(8)
! Sc8Co2Au PBE relaxed; values from VASP
! Symmetry   Cm
! ρ   4.94 g cm⁻³
! E_form   -0.246 eV per atom
! DFT total energy   -0.4734 Ry per atom
&SYSTEM
  ibrav = 0, nat = 11, ntyp = 3
/
ATOMIC_SPECIES
Au 196.97 Au.upf
Sc 44.96 Sc.upf
Co 58.93 Co.upf
CELL_PARAMETERS angstrom
0.013 3.377 -3.570
-0.186 -5.862 -4.185
-6.394 1.638 2.888
ATOMIC_POSITIONS angstrom
Au -0.004 3.366 -3.573
Sc -0.496 0.142 -3.267
Sc -2.122 2.106 -1.415
Sc -1.712 -4.062 -2.478
Sc -4.915 -0.191 1.172
Sc -6.114 -1.017 -1.611
Sc -4.491 -2.978 -3.460
Sc -2.485 -0.959 -1.164
Sc -4.116 0.089 -3.707
Co -2.138 -1.846 -3.763
Co -4.469 0.971 -1.107